1.
# CaAl2 (PBE-GGA, optimized geometry)
data_CaAl2
_space_group_name_H-M_alt 'I 41/a m d'
_space_group_IT_number 141
_cell_length_a 4.3670
_cell_length_b 4.3670
_cell_length_c 15.6782
_cell_angle_alpha 90.00
_cell_angle_beta 90.00
_cell_angle_gamma 90.00
loop_
_space_group_symop_operation_xyz
'x,y,z'
'-x,-y,-z'
'-y+1/4,x+3/4,z+1/4'
'y+1/4,-x+3/4,-z+1/4'
'-x+1/2,-y,z+1/2'
'x+1/2,y,-z+1/2'
'y+1/4,-x+1/4,z+3/4'
'-y+1/4,x+1/4,-z+3/4'
'x,-y,-z'
'-x,y,z'
'-y+1/4,-x+1/4,-z+3/4'
'y+1/4,x+1/4,z+3/4'
'-x+1/2,y,-z+1/2'
'x+1/2,-y,z+1/2'
'y+1/4,x+3/4,-z+1/4'
'-y+1/4,-x+3/4,z+1/4'
'x+1/2,y+1/2,z+1/2'
'-x+1/2,-y+1/2,-z+1/2'
'-y+3/4,x+1/4,z+3/4'
'y+3/4,-x+1/4,-z+3/4'
'-x,-y+1/2,z'
'x,y+1/2,-z'
'y+3/4,-x+3/4,z+1/4'
'-y+3/4,x+3/4,-z+1/4'
'x+1/2,-y+1/2,-z+1/2'
'-x+1/2,y+1/2,z+1/2'
'-y+3/4,-x+3/4,-z+1/4'
'y+3/4,x+3/4,z+1/4'
'-x,y+1/2,-z'
'x,-y+1/2,z'
'y+3/4,x+1/4,-z+3/4'
'-y+3/4,-x+1/4,z+3/4'
loop_
_atom_site_label
_atom_site_type_symbol
_atom_site_fract_x
_atom_site_fract_y
_atom_site_fract_z
Ca1 Ca 0.0000 0.2500 0.3750
Al1 Al 0.0000 0.2500 0.7923
# * total energy: -3.365 eV per atom
# * size of the total moment: 0.00 μB per formula unit
# * formation enthalpy at 0 K: -0.20 eV per atom

2.
# ZrSc3Sn2 (PBE-GGA, optimized geometry)
data_ZrSc3Sn2
_space_group_name_H-M_alt 'C m m m'
_space_group_IT_number 65
_space_group_name_Hall '-C 2 2'
_cell_length_a 4.5621
_cell_length_b 14.7903
_cell_length_c 4.0640
_cell_angle_alpha 90.00
_cell_angle_beta 90.00
_cell_angle_gamma 90.00
loop_
_atom_site_label
_atom_site_type_symbol
_atom_site_fract_x
_atom_site_fract_y
_atom_site_fract_z
Zr1 Zr 0.0000 0.0000 0.0000
Sc1 Sc 0.0000 0.1728 0.5000
Sc2 Sc 0.0000 0.5000 0.5000
Sn1 Sn 0.0000 0.3489 0.0000
# * total energy: -6.430 eV per atom
# * size of the total moment: 1.45 μB per formula unit
# * formation enthalpy at 0 K: -0.51 eV per atom

3.
# Hf2CuP2 (PBE-GGA, optimized geometry)
data_Hf2CuP2
_space_group_name_H-M_alt 'P 4/m b m'
_space_group_IT_number 127
_space_group_name_Hall '-P 4 2ab'
_cell_length_a 6.8823
_cell_length_b 6.8823
_cell_length_c 3.4433
_cell_angle_alpha 90.00
_cell_angle_beta 90.00
_cell_angle_gamma 90.00
loop_
_atom_site_label
_atom_site_type_symbol
_atom_site_fract_x
_atom_site_fract_y
_atom_site_fract_z
Hf1 Hf 0.1538 0.3462 0.0000
Cu1 Cu 0.0000 0.0000 0.5000
P1 P 0.1478 0.6478 0.5000
# * total energy: -7.764 eV per atom
# * size of the total moment: 0.00 μB per formula unit
# * formation enthalpy at 0 K: -0.80 eV per atom

4.
# Al2AsS6 (PBE-GGA, optimized geometry)
data_Al2AsS6
_space_group_name_H-M_alt 'C 1 2/c 1'
_space_group_IT_number 15
_cell_length_a 12.0220
_cell_length_b 10.5451
_cell_length_c 6.2818
_cell_angle_alpha 90.00
_cell_angle_beta 117.16
_cell_angle_gamma 90.00
loop_
_space_group_symop_operation_xyz
'x,y,z'
'-x,-y,-z'
'-x,y,-z+1/2'
'x,-y,z+1/2'
'x+1/2,y+1/2,z'
'-x+1/2,-y+1/2,-z'
'-x+1/2,y+1/2,-z+1/2'
'x+1/2,-y+1/2,z+1/2'
loop_
_atom_site_label
_atom_site_type_symbol
_atom_site_fract_x
_atom_site_fract_y
_atom_site_fract_z
Al1 Al 0.2118 0.0855 0.4590
As1 As 0.0000 0.4061 0.2500
S1 S 0.0730 0.0619 0.0251
S2 S 0.1333 0.2757 0.5605
S3 S 0.1657 0.4114 0.1087
# * total energy: -4.531 eV per atom
# * size of the total moment: 0.00 μB per formula unit
# * formation energy from raw total energies: -0.4306 eV/atom

5.
# LaPrAgRh (PBE-GGA, optimized geometry)
data_LaPrAgRh
_space_group_name_H-M_alt 'F -4 3 m'
_space_group_IT_number 216
_space_group_name_Hall 'F -4 2 3'
_cell_length_a 7.3698
_cell_length_b 7.3698
_cell_length_c 7.3698
_cell_angle_alpha 90.00
_cell_angle_beta 90.00
_cell_angle_gamma 90.00
loop_
_atom_site_label
_atom_site_type_symbol
_atom_site_fract_x
_atom_site_fract_y
_atom_site_fract_z
La1 La 0.0000 0.0000 0.0000
Pr1 Pr 0.0000 0.0000 0.5000
Ag1 Ag 0.2500 0.2500 0.2500
Rh1 Rh 0.2500 0.2500 0.7500
# * total energy: -5.405 eV per atom
# * size of the total moment: 0.00 μB per formula unit
# * formation enthalpy at 0 K: -0.43 eV per atom

6.
# AlTl4Cl7 (PBE-GGA, optimized geometry)
data_AlTl4Cl7
_space_group_name_H-M_alt 'C 1 2 1'
_space_group_IT_number 5
_cell_length_a 15.2715
_cell_length_b 5.5002
_cell_length_c 10.7417
_cell_angle_alpha 90.00
_cell_angle_beta 120.25
_cell_angle_gamma 90.00
loop_
_space_group_symop_operation_xyz
'x,y,z'
'-x,y,-z'
'x+1/2,y+1/2,z'
'-x+1/2,y+1/2,-z'
loop_
_atom_site_label
_atom_site_type_symbol
_atom_site_fract_x
_atom_site_fract_y
_atom_site_fract_z
Al1 Al 0.0000 0.0000 0.0000
Tl1 Tl 0.0688 0.5179 0.7541
Tl2 Tl 0.2283 0.4786 0.3259
Cl1 Cl 0.0000 0.5951 0.0000
Cl2 Cl 0.0584 0.0465 0.2446
Cl3 Cl 0.1405 0.5165 0.5261
Cl4 Cl 0.1574 0.0923 0.0416
# * total energy: -3.350 eV per atom
# * size of the total moment: 0.00 μB per formula unit
# * formation energy from raw total energies: -1.1723 eV/atom

7.
# Ca2PuSe3 (PBE-GGA, optimized geometry)
data_Ca2PuSe3
_space_group_name_H-M_alt 'I m m m'
_space_group_IT_number 71
_space_group_name_Hall '-I 2 2'
_cell_length_a 4.2027
_cell_length_b 5.9412
_cell_length_c 12.6281
_cell_angle_alpha 90.00
_cell_angle_beta 90.00
_cell_angle_gamma 90.00
loop_
_atom_site_label
_atom_site_type_symbol
_atom_site_fract_x
_atom_site_fract_y
_atom_site_fract_z
Ca1 Ca 0.0000 0.0000 0.1670
Pu1 Pu 0.0000 0.0000 0.5000
Se1 Se 0.0000 0.5000 0.1660
Se2 Se 0.0000 0.5000 0.5000
# * total energy: -6.602 eV per atom
# * size of the total moment: 5.94 μB per formula unit
# * formation energy from raw total energies: -1.8042 eV/atom

8.
# DyTmSc2Tl4 (PBE-GGA, optimized geometry)
data_DyTmSc2Tl4
_space_group_name_H-M_alt 'R -3 m'
_space_group_IT_number 166
_space_group_name_Hall '-R 3 2"'
_cell_length_a 5.2219
_cell_length_b 5.2219
_cell_length_c 25.6339
_cell_angle_alpha 90.00
_cell_angle_beta 90.00
_cell_angle_gamma 120.00
loop_
_atom_site_label
_atom_site_type_symbol
_atom_site_fract_x
_atom_site_fract_y
_atom_site_fract_z
Dy1 Dy 0.0000 0.0000 0.0000
Tm1 Tm 0.0000 0.0000 0.5000
Sc1 Sc 0.0000 0.0000 0.2497
Tl1 Tl 0.0000 0.0000 0.1256
Tl2 Tl 0.0000 0.0000 0.3757
# * total energy: -4.179 eV per atom
# * size of the total moment: 0.00 μB per formula unit
# * formation enthalpy at 0 K: -0.28 eV per atom

Please write out number 2 again, unchanged.
# ZrSc3Sn2 (PBE-GGA, optimized geometry)
data_ZrSc3Sn2
_space_group_name_H-M_alt 'C m m m'
_space_group_IT_number 65
_space_group_name_Hall '-C 2 2'
_cell_length_a 4.5621
_cell_length_b 14.7903
_cell_length_c 4.0640
_cell_angle_alpha 90.00
_cell_angle_beta 90.00
_cell_angle_gamma 90.00
loop_
_atom_site_label
_atom_site_type_symbol
_atom_site_fract_x
_atom_site_fract_y
_atom_site_fract_z
Zr1 Zr 0.0000 0.0000 0.0000
Sc1 Sc 0.0000 0.1728 0.5000
Sc2 Sc 0.0000 0.5000 0.5000
Sn1 Sn 0.0000 0.3489 0.0000
# * total energy: -6.430 eV per atom
# * size of the total moment: 1.45 μB per formula unit
# * formation enthalpy at 0 K: -0.51 eV per atom

total energy of number 8 (DyTmSc2Tl4)? -4.179 eV per atom

What is the size of the total moment in the sixth record? 0.00 μB per formula unit